No. 1
MgNiPt3: single point on PBEsol structure, meta-GGA SCAN.

Cell and atoms, written as extended XYZ:
```
5
Lattice="4.505 0.000 0.000 0.000 4.505 0.000 0.000 0.000 4.505" Properties=species:S:1:pos:R:3 pbc="T T T"
Ni 0.000 0.000 0.000
Mg 2.252 2.252 2.252
Pt 0.000 2.252 0.000
Pt 0.000 0.000 2.252
Pt 2.252 0.000 0.000
```

Calculated values
As for the space-group type: Pm-3m. Its energy of formation from the pure elements is 0.570 eV/atom. The value obtained for the total energy is -45.775 eV/atom. The calculation puts the magnetization at 1.4 Bohr magnetons per cell.

***

No. 2
SmLuIn2: single point on PBEsol structure, meta-GGA SCAN.

Cell and atoms, written as extended XYZ:
```
4
Lattice="-3.950 1.644 -3.000 -0.984 -2.368 -4.553 -4.277 -2.954 -0.538" Properties=species:S:1:pos:R:3 pbc="T T T"
Lu -4.606 -1.839 -4.045
Sm 0.000 0.000 0.000
In -2.303 -0.920 -2.023
In -6.908 -2.759 -6.068
```

Calculated values
As for the space-group type: Fm-3m. Its energy of formation from the pure elements is -0.588 eV/atom. The value obtained for the total energy is -42.228 eV/atom. The calculation puts the magnetization at 0.0 Bohr magnetons per cell.

***

No. 3
Ag2BrO: single point on PBEsol structure, meta-GGA SCAN.

Cell and atoms, written as extended XYZ:
```
4
Lattice="-3.017 -1.917 2.718 1.361 -2.723 3.301 -0.326 1.321 4.279" Properties=species:S:1:pos:R:3 pbc="T T T"
O 0.000 0.000 0.000
Br -0.991 -1.659 5.149
Ag -0.496 -0.830 2.574
Ag -1.487 -2.489 7.723
```

Calculated values
As for the space-group type: Fm-3m. The value obtained for the total energy is -21.865 eV/atom. As for the uncorrected formation energy: 0.242 eV/atom. The calculation puts the magnetization at 1.0 Bohr magnetons per cell.